A plane-wave DFT calculation with PBE with a Hubbard U was carried out for crystalline PmMg2VO6 at its relaxed geometry.

a = 5.3149 Å, b = 5.3149 Å, c = 14.2618 Å
α = 90.00°, β = 90.00°, γ = 120.00°
Closest atoms and distances in Å follow each position.
Space group R3 (No. 146, hexagonal axes)
Unique sites:
Pm 0.0000 0.0000 0.0000 x3  3 O 2.23
Mg 0.0000 0.0000 0.2237 x3  6 O 2.00-2.21
Mg 0.0000 0.0000 0.7278 x3  6 O 2.12-2.14
V 0.0000 0.0000 0.5230 x3  6 O 1.86-2.02
O 0.0294 0.3474 0.1312 x9  1 V 1.86
O 0.0836 0.7135 0.2867 x9  2 Mg 2.00-2.12, 1 V 2.02, 1 Pm 2.23

raw total energy = -0.259 hartree per atom
volume = 11.630 Å³/atom
Fermi-level density of states = 0.00 states/eV per cell
M_tot = 0.00 μB per formula unit